LuTlNi (PBE, relaxed); formation energy from the elements = -218 meV/atom; crystal system = cubic
1.0
-0.0082 -2.9105 -3.4826
1.5274 -4.2347 0.5779
-2.9065 -3.4857 -0.0375
Ni Tl Lu
1 1 1
Direct
0.2500 0.2500 0.2500
0.0000 0.0000 0.0000
0.5000 0.5000 0.5000

Zr2ZnGa (PBE, relaxed); formation energy from the elements = -54 meV/atom; crystal system = tetragonal
1.0
7.5355 0.0000 0.0000
0.0000 7.5355 0.0000
3.7678 3.7678 2.8414
Zn Ga Zr
2 2 4
Direct
0.5000 0.5000 0.0000
0.2500 0.7500 0.5000
0.0000 0.0000 0.0000
0.7500 0.2500 0.5000
0.6244 0.1250 0.2500
0.1256 0.6250 0.2500
0.3750 0.3756 0.7500
0.8750 0.8744 0.7500

Cs2SI6Br (PBE, relaxed); energy relative to the elements, uncorrected = -0.5438 eV per atom; crystal system = tetragonal
1.0
-5.3778 -3.9654 4.9386
6.2476 -4.3855 3.2818
1.2317 0.2953 8.5677
Cs I S Br
2 6 1 1
Direct
0.7500 0.2500 0.5000
0.2500 0.7500 0.5000
0.2831 0.2831 0.4337
0.7169 0.7169 0.5663
0.2601 0.2601 0.0000
0.7399 0.7399 0.0000
0.7399 0.2601 0.0000
0.2601 0.7399 0.0000
0.5000 0.5000 0.0000
0.0000 0.0000 0.0000

TiOsCl3 (PBE, relaxed); energy relative to the elements, uncorrected = 0.4458 eV per atom; crystal system = cubic; ΔE to the lowest computed polymorph = 0 meV/atom
1.0
4.8531 0.0000 0.0000
0.0000 4.8531 0.0000
0.0000 0.0000 4.8531
Cl Os Ti
3 1 1
Direct
0.0000 0.5000 0.0000
0.0000 0.0000 0.5000
0.5000 0.0000 0.0000
0.5000 0.5000 0.5000
0.0000 0.0000 0.0000

Nb2CuAgH (PBE, relaxed); crystal system = tetragonal; ΔE to the lowest computed polymorph = 0 meV/atom
1.0
4.0798 0.0000 0.0000
0.0000 4.0798 0.0000
0.0000 0.0000 4.1289
H Nb Cu Ag
1 2 1 1
Direct
0.0000 0.0000 0.0000
0.0000 0.5000 0.0000
0.5000 0.0000 0.0000
0.0000 0.0000 0.5000
0.5000 0.5000 0.5000

Tb3TlIr (PBE, relaxed); formation energy from the elements = -483 meV/atom; crystal system = monoclinic; ΔE to the lowest computed polymorph = 81 meV/atom
1.0
-3.8361 0.2097 -4.0406
-1.2206 -4.6124 4.7662
-2.4596 8.2687 2.7642
Tb Tl Ir
6 2 2
Direct
0.8945 0.7890 0.7814
0.1055 0.2110 0.2186
0.6162 0.2323 0.9003
0.3838 0.7677 0.0997
0.8381 0.6763 0.3459
0.1619 0.3237 0.6541
0.3858 0.7716 0.5416
0.6142 0.2284 0.4584
0.1381 0.2762 0.9367
0.8619 0.7238 0.0633

CdPPbCl2 (PBE, relaxed); energy relative to the elements, uncorrected = -0.1010 eV per atom; crystal system = tetragonal; ΔE to the lowest computed polymorph = 0 meV/atom
1.0
-1.7686 -0.3506 -4.7394
-3.3502 -3.4947 1.5087
-3.5280 3.8282 1.0333
Pb P Cl Cd
1 1 2 1
Direct
0.5000 0.5000 0.5000
0.0000 0.0000 0.5000
0.0000 0.5000 0.0000
0.5000 0.0000 0.0000
0.0000 0.0000 0.0000

The evaluated M_tot for the records listed, in turn: 0.000 0.000 0.000 0.917 0.000 0.000 0.121 μB/atom.
The evaluated Fermi-level density of states for the records listed, in turn: 3.52 5.90 3.73 8.21 4.28 7.91 2.47 states/eV per cell.
The evaluated E_tot for the records listed, in turn: -4.441 -5.404 -2.225 -4.487 -5.974 -5.507 -2.846 eV/atom.